First-principles (PBE-GGA) data for an optimized crystal structure of NiAg2W, as listed in Alexandria via LeMat-Bulk.

## Properties
Space group   Cmmm
Energy relative to the elements   0.525 eV per atom
ΔE to the lowest computed polymorph   0.268 eV/atom

Cell and atoms, written as CIF:
```
data_NiAg2W
_chemical_formula_sum 'Ni1 Ag2 W1'
_space_group_name_H-M_alt 'P 1'
_space_group_IT_number 1
_cell_length_a 2.7084
_cell_length_b 2.7084
_cell_length_c 9.3740
_cell_angle_alpha 90.00
_cell_angle_beta 90.00
_cell_angle_gamma 113.06
loop_
_space_group_symop_operation_xyz
'x,y,z'
loop_
_atom_site_label
_atom_site_type_symbol
_atom_site_fract_x
_atom_site_fract_y
_atom_site_fract_z
_atom_site_occupancy
Ag1 Ag 0.0000 0.0000 0.0155 1
Ag2 Ag 0.0000 0.0000 0.4845 1
W1 W 0.5000 0.5000 0.7500 1
Ni1 Ni 0.5000 0.5000 0.2500 1
```